A relaxed LaY4Cd crystal, computed with GGA-PBE.

Calculated values
Formation energy from the elements = 0.248 eV/atom
DFT total energy = -5.035 eV per atom
ΔE to the lowest computed polymorph = 0.343 eV/atom
Symmetry = F-43m, No. 216

```
LaY4Cd
1.0
5.3794 -3.7024 -0.3779
0.9296 -4.8641 4.2738
-0.4426 -6.2198 -1.9766
La Y Cd
1 4 1
Direct
0.0000 0.0000 0.0000 La
0.8752 0.3749 0.3749 Y
0.3749 0.3749 0.8752 Y
0.3749 0.8752 0.3749 Y
0.3749 0.3749 0.3749 Y
0.7500 0.7500 0.7500 Cd
```